# AcAgGe

A relaxed AcAgGe crystal (PBE, the Open Quantum Materials Database).

Cell: 4.957 4.957 4.957 Å, 60.00 60.00 60.00°
Sites, in units of the cell vectors:
Ac: 0.000 0.000 0.000
Ag: 0.250 0.250 0.250
Ge: 0.500 0.500 0.500

Summary:
theoretical density	7.9	g cm⁻³
volume	86.1	Å³/cell

# AcAgGe

A relaxed AcAgGe crystal (PBE, the Open Quantum Materials Database).

Cell: 5.181 5.181 5.181 Å, 60.00 60.00 60.00°
Sites, in units of the cell vectors:
Ac: 0.000 0.000 0.000
Ag: 0.750 0.750 0.750
Ge: 0.250 0.250 0.250

Summary:
theoretical density	6.9	g cm⁻³
volume	98.3	Å³/cell

# AcAg2Ge2

A relaxed AcAg2Ge2 crystal (PBE, the Open Quantum Materials Database).

Cell: 6.373 6.373 6.373 Å, 138.54 138.54 60.07°
Sites, in units of the cell vectors:
Ac: 0.000 0.000 0.000
Ag: 0.250 0.750 0.500
Ag: 0.750 0.250 0.500
Ge: 0.385 0.385 0.000
Ge: 0.615 0.615 0.000

Summary:
theoretical density	8.7	g cm⁻³
volume	112.3	Å³/cell

# AcAgGe

A relaxed AcAgGe crystal (PBE, the Open Quantum Materials Database).

Cell: 4.590 4.590 4.412 Å, 90.00 90.00 120.00°
Sites, in units of the cell vectors:
Ac: 0.000 0.000 0.000
Ag: 0.333 0.667 0.499
Ge: 0.667 0.333 0.503

Summary:
theoretical density	8.4	g cm⁻³
volume	80.5	Å³/cell

# AcHfAg

A relaxed AcHfAg crystal (PBE, the Open Quantum Materials Database).

Cell: 5.078 5.078 5.078 Å, 60.00 60.00 60.00°
Sites, in units of the cell vectors:
Ac: 0.000 0.000 0.000
Hf: 0.500 0.500 0.500
Ag: 0.250 0.250 0.250

Summary:
theoretical density	9.2	g cm⁻³
calculated formation energy	535	meV/atom
volume	92.6	Å³/cell

# AcHfAg

A relaxed AcHfAg crystal (PBE, the Open Quantum Materials Database).

Cell: 5.089 5.089 5.089 Å, 60.00 60.00 60.00°
Sites, in units of the cell vectors:
Ac: 0.000 0.000 0.000
Hf: 0.250 0.250 0.250
Ag: 0.750 0.750 0.750

Summary:
theoretical density	9.1	g cm⁻³
calculated formation energy	1119	meV/atom
volume	93.2	Å³/cell

# AcAg4Hg

A relaxed AcAg4Hg crystal (PBE, the Open Quantum Materials Database).

Cell: 5.731 5.731 5.731 Å, 60.00 60.00 60.00°
Sites, in units of the cell vectors:
Ac: 0.000 0.000 0.000
Ag: 0.376 0.376 0.376
Ag: 0.376 0.376 0.872
Ag: 0.376 0.872 0.376
Ag: 0.872 0.376 0.376
Hg: 0.750 0.750 0.750

Summary:
theoretical density	10.7	g cm⁻³
calculated formation energy	-235	meV/atom
volume	133.1	Å³/cell

# AcAgHg

A relaxed AcAgHg crystal (PBE, the Open Quantum Materials Database).

Cell: 5.101 5.101 5.101 Å, 60.00 60.00 60.00°
Sites, in units of the cell vectors:
Ac: 0.000 0.000 0.000
Ag: 0.250 0.250 0.250
Hg: 0.500 0.500 0.500

Summary:
theoretical density	9.5	g cm⁻³
calculated formation energy	-252	meV/atom
volume	93.9	Å³/cell

Values for E, Ha/atom, ordered as above
-0.1554; -0.1385; -0.1564; -0.1622; -0.1872; -0.1657; -0.1048; -0.0978